# K2LiSn4Au3

K2LiSn4Au3 after structural relaxation (GGA-PBE, Alexandria).

abc: 4.890 4.890 11.178
angles: 90.00 90.00 90.00
Space group P-4m2 (No. 115)
Symmetry-distinct sites (fractional):
K 0.000 0.500 0.243 (multiplicity 2)
Li 0.500 0.500 0.000 (multiplicity 1)
Sn 0.000 0.000 0.500 (multiplicity 1)
Sn 0.000 0.500 0.878 (multiplicity 2)
Sn 0.500 0.500 0.500 (multiplicity 1)
Au 0.000 0.000 0.000 (multiplicity 1)
Au 0.000 0.500 0.632 (multiplicity 2)

E_form = -0.278 eV/atom
DOS at the Fermi energy = 7.1 states/eV/cell

# KLi2SnAu

KLi2SnAu after structural relaxation (GGA-PBE, Alexandria).

abc: 5.210 5.210 5.325
angles: 90.00 90.00 90.00
Space group P4/mmm (No. 123)
Symmetry-distinct sites (fractional):
K 0.000 0.000 0.000 (multiplicity 1)
Li 0.000 0.500 0.500 (multiplicity 2)
Sn 0.500 0.500 0.000 (multiplicity 1)
Au 0.500 0.500 0.500 (multiplicity 1)

E_form = -0.227 eV/atom
DOS at the Fermi energy = 1.0 states/eV/cell

# KSrLi2Au

KSrLi2Au after structural relaxation (GGA-PBE, Alexandria).

abc: 5.462 5.462 5.945
angles: 90.00 90.00 90.00
Space group P4/mmm (No. 123)
Symmetry-distinct sites (fractional):
K 0.000 0.000 0.000 (multiplicity 1)
Sr 0.500 0.500 0.000 (multiplicity 1)
Li 0.000 0.500 0.500 (multiplicity 2)
Au 0.500 0.500 0.500 (multiplicity 1)

E_form = -0.145 eV/atom
DOS at the Fermi energy = 3.2 states/eV/cell

Q: DOS at the Fermi energy of number 3 (KSrLi2Au)?
A: 3.2 states/eV/cell